1) VASP calculation (PBE) on crystalline Mn2Al2Au at its relaxed geometry.

a b c (Å): 7.0442 7.0442 2.9876
angles (deg): 90.00 90.00 90.00
Fractional positions:
Mn 0.1633 0.6633 0.5000
Mn 0.6633 0.8367 0.5000
Mn 0.8367 0.3367 0.5000
Mn 0.3367 0.1633 0.5000
Au 0.0000 0.0000 0.0000
Au 0.5000 0.5000 0.0000
Al 0.3671 0.8671 0.0000
Al 0.8671 0.6329 0.0000
Al 0.6329 0.1329 0.0000
Al 0.1329 0.3671 0.0000

Summary:
M_tot: 5.915 μB/f.u.
density of states at the Fermi level: 0.61 states/eV per atom
SG: P4/mbm, No. 127

***

2) VASP calculation (PBE) on crystalline Mn2Al2Au at its relaxed geometry.

a b c (Å): 6.6527 6.6527 6.6527
angles (deg): 148.12 148.12 45.72
Fractional positions:
Mn 0.5985 0.5985 0.0000
Mn 0.4015 0.4015 0.0000
Al 0.2500 0.7500 0.5000
Al 0.7500 0.2500 0.5000
Au 0.0000 0.0000 0.0000

Summary:
M_tot: 6.064 μB/f.u.
density of states at the Fermi level: 1.00 states/eV per atom
SG: I4/mmm, No. 139

***

Among the structures shown above, 1) is the most stable, with the second-best lying 349 meV/atom higher.